# 1
The following is a PBE calculation of a relaxed ErNpS2 crystal, from the Alexandria database.

Values from the calculation:
Excess energy over the best structure of this formula in the dataset in meV/atom: 100
Uncorrected formation energy in eV per formula unit: -6.31
Total magnetization in μB per formula unit: 4.54

Cell: 3.7620 3.7620 20.7656 Å, 90.00 90.00 120.00°
Closest atoms and distances in Å follow each position.
Space group R3m (No. 160, hexagonal axes)
Asymmetric unit:
Er (0.0000, 0.0000, 0.0000)  6 S 2.68-2.77
Np (0.0000, 0.0000, 0.1751)  6 S 2.77-2.90
S (0.0000, 0.0000, 0.4162)  3 Er 2.77, 3 Np 2.90
S (0.0000, 0.0000, 0.5910)  3 Er 2.68, 3 Np 2.77



# 2
The following is a PBE calculation of a relaxed ZrIrPtSe2 crystal, from the Alexandria database.

Values from the calculation:
Uncorrected formation energy in eV per formula unit: 2.95
Total magnetization in μB per formula unit: 0.00

Cell: 4.7428 4.7428 5.1602 Å, 90.00 90.00 90.00°
Closest atoms and distances in Å follow each position.
Space group P4/mmm (No. 123)
Asymmetric unit:
Zr (0.0000, 0.0000, 0.0000)  2 Ir 2.58
Ir (0.0000, 0.0000, 0.5000)  4 Se 2.37, 2 Zr 2.58
Pt (0.5000, 0.5000, 0.0000)  4 Zr 3.35, 8 Se 3.50
Se (0.0000, 0.5000, 0.5000)  2 Ir 2.37